No. 1
An optimized crystal structure of Ba2CrNi, computed with PBE.

The space group is F-43m, No. 216. The formation energy comes out at 275 kJ/mol of formula units.

Lattice parameters (Å, degrees): 5.417 5.417 5.417 60.00 60.00 60.00
Site moments in Bohr magnetons follow the coordinates.
Positions (direct):
1 Ba 0.000 0.000 0.000  0.01
2 Ba 0.250 0.250 0.250  -0.09
3 Cr 0.500 0.500 0.500  -3.97
4 Ni 0.750 0.750 0.750  -0.28


No. 2
An optimized crystal structure of Ba2CrNi, computed with PBE.

The space group is Pmmm, No. 47. The formation energy comes out at 208 kJ/mol of formula units.

Lattice parameters (Å, degrees): 3.886 3.939 9.161 64.54 90.00 90.00
Site moments in Bohr magnetons follow the coordinates.
Positions (direct):
1 Ba 0.000 0.029 0.970  0.01
2 Ba 0.000 0.471 0.530  0.01
3 Cr 0.500 0.250 0.250  4.08
4 Ni 0.500 0.750 0.750  0.14


No. 3
An optimized crystal structure of Ba2CrNi, computed with PBE.

The space group is P4mm, No. 99. The formation energy comes out at 194 kJ/mol of formula units.

Lattice parameters (Å, degrees): 3.651 3.651 9.316 90.00 90.00 90.00
Site moments in Bohr magnetons follow the coordinates.
Positions (direct):
1 Ba 0.000 0.000 0.914  0.01
2 Ba 0.500 0.500 0.335  -0.04
3 Cr 0.000 0.000 0.593  3.43
4 Ni 0.500 0.500 0.658  0.20


No. 4
An optimized crystal structure of Ba2CrNi, computed with PBE.

The space group is Cmmm, No. 65. The formation energy comes out at 228 kJ/mol of formula units.

Lattice parameters (Å, degrees): 8.873 5.577 4.056 90.02 62.78 128.99
Site moments in Bohr magnetons follow the coordinates.
Positions (direct):
1 Ba 0.000 0.000 0.000  0.01
2 Ba 0.500 0.000 0.500  0.01
3 Cr 0.000 0.500 0.500  4.01
4 Ni 0.500 0.500 0.000  0.17


No. 5
An optimized crystal structure of Ba2CrNi, computed with PBE.

The space group is Fm-3m, No. 225. The formation energy comes out at 226 kJ/mol of formula units.

Lattice parameters (Å, degrees): 5.632 5.632 5.632 60.00 60.00 60.00
Site moments in Bohr magnetons follow the coordinates.
Positions (direct):
1 Ni 0.500 0.500 0.500  0.30
2 Ba 0.250 0.250 0.250  0.02
3 Ba 0.750 0.750 0.750  0.02
4 Cr 0.000 0.000 0.000  4.06


What did the fourth record say?
An optimized crystal structure of Ba2CrNi, computed with PBE.

The space group is Cmmm, No. 65. The formation energy comes out at 228 kJ/mol of formula units.

Lattice parameters (Å, degrees): 8.873 5.577 4.056 90.02 62.78 128.99
Site moments in Bohr magnetons follow the coordinates.
Positions (direct):
1 Ba 0.000 0.000 0.000  0.01
2 Ba 0.500 0.000 0.500  0.01
3 Cr 0.000 0.500 0.500  4.01
4 Ni 0.500 0.500 0.000  0.17